Here is Zn2CrHg after structural relaxation from the Alexandria database. Energies are from PBE.

calculated volume = 139.3 Å³ per cell
E_form = 30.9 kJ per mole of atoms
magnetization = 7.2 Bohr magnetons per cell
electronic total energy = -2.798 eV per atom

Geometry as POSCAR:
```
Zn2CrHg
1.0
5.6905 0.0000 0.0000
0.0000 9.4737 0.0000
-1.4983 0.0000 2.5839
Zn Cr Hg
4 2 2
Cartesian
1.4226 2.3684 0.0000 Zn
1.4226 7.1053 0.0000 Zn
4.2679 2.3684 0.0000 Zn
4.2679 7.1053 0.0000 Zn
-0.7492 0.0000 1.2919 Cr
2.0961 4.7369 1.2919 Cr
-0.7492 4.7369 1.2919 Hg
2.0961 0.0000 1.2919 Hg
```

***

Here is Zn3CrHg after structural relaxation from the Alexandria database. Energies are from PBE.

calculated volume = 126.4 Å³ per cell
E_form = 60.7 kJ per mole of atoms
magnetization = 4.6 Bohr magnetons per cell
electronic total energy = -2.121 eV per atom

Geometry as POSCAR:
```
Zn3CrHg
1.0
5.0185 0.0000 0.0000
0.0000 5.0185 0.0000
0.0000 0.0000 5.0185
Zn Cr Hg
3 1 1
Cartesian
0.0000 0.0000 2.5093 Zn
0.0000 2.5093 0.0000 Zn
2.5093 0.0000 0.0000 Zn
0.0000 0.0000 0.0000 Cr
2.5093 2.5093 2.5093 Hg
```

***

Here is Zn2CrHg after structural relaxation from the Alexandria database. Energies are from PBE.

calculated volume = 214.4 Å³ per cell
E_form = 34.5 kJ per mole of atoms
magnetization = 11.4 Bohr magnetons per cell
electronic total energy = -2.760 eV per atom

Geometry as POSCAR:
```
Zn2CrHg
1.0
3.0895 0.0000 0.0000
-1.5447 2.6756 0.0000
0.0000 0.0000 25.9375
Zn Cr Hg
6 3 3
Cartesian
0.0000 0.0000 0.0000 Zn
0.0000 0.0000 6.6668 Zn
0.0000 1.7837 17.2917 Zn
0.0000 1.7837 23.9584 Zn
1.5447 0.8919 8.6458 Zn
1.5447 0.8919 15.3126 Zn
0.0000 0.0000 19.3084 Cr
0.0000 1.7837 10.6626 Cr
1.5447 0.8919 2.0168 Cr
0.0000 0.0000 12.9678 Hg
0.0000 1.7837 4.3219 Hg
1.5447 0.8919 21.6136 Hg
```

***

Here is Zn2CrHg after structural relaxation from the Alexandria database. Energies are from PBE.

calculated volume = 135.8 Å³ per cell
E_form = 24.7 kJ per mole of atoms
magnetization = 7.3 Bohr magnetons per cell
electronic total energy = -2.862 eV per atom

Geometry as POSCAR:
```
Zn2CrHg
1.0
4.2503 0.0000 0.0000
0.0000 2.9816 0.0000
0.0000 0.0000 10.7194
Zn Cr Hg
4 2 2
Cartesian
0.0000 0.0000 0.0000 Zn
0.0000 1.4908 5.3597 Zn
2.1252 0.0000 1.3944 Zn
2.1252 1.4908 6.7541 Zn
0.0000 0.0000 7.7758 Cr
0.0000 1.4908 2.4161 Cr
2.1252 0.0000 4.0845 Hg
2.1252 1.4908 9.4442 Hg
```

***

Here is ZnCr4Hg2 after structural relaxation from the Alexandria database. Energies are from PBE.

calculated volume = 308.9 Å³ per cell
E_form = 101.6 kJ per mole of atoms
magnetization = 32.9 Bohr magnetons per cell
electronic total energy = -4.715 eV per atom

Geometry as POSCAR:
```
ZnCr4Hg2
1.0
4.7048 0.0000 0.0000
0.0000 4.7048 0.0000
0.0000 0.0000 13.9546
Zn Cr Hg
2 8 4
Cartesian
0.0000 0.0000 0.0000 Zn
2.3524 2.3524 6.9773 Zn
0.0000 0.0000 2.5180 Cr
0.0000 0.0000 11.4366 Cr
0.0000 2.3524 0.0000 Cr
0.0000 2.3524 6.9773 Cr
2.3524 0.0000 0.0000 Cr
2.3524 0.0000 6.9773 Cr
2.3524 2.3524 4.4593 Cr
2.3524 2.3524 9.4953 Cr
0.0000 0.0000 5.2610 Hg
0.0000 0.0000 8.6936 Hg
2.3524 2.3524 1.7163 Hg
2.3524 2.3524 12.2383 Hg
```

***

Here is Zn2CrHg after structural relaxation from the Alexandria database. Energies are from PBE.

calculated volume = 68.5 Å³ per cell
E_form = 27.1 kJ per mole of atoms
magnetization = 3.5 Bohr magnetons per cell
electronic total energy = -2.838 eV per atom

Geometry as POSCAR:
```
Zn2CrHg
1.0
4.7419 0.0000 0.0000
0.0000 3.1671 0.0000
-1.3743 0.0000 4.5642
Zn Cr Hg
2 1 1
Cartesian
0.0000 0.0000 0.0000 Zn
2.3709 1.5836 0.0000 Zn
-0.6872 1.5836 2.2821 Cr
1.6838 0.0000 2.2821 Hg
```

***

Here is Zn2CrHg after structural relaxation from the Alexandria database. Energies are from PBE.

calculated volume = 266.4 Å³ per cell
E_form = 24.7 kJ per mole of atoms
magnetization = 14.6 Bohr magnetons per cell
electronic total energy = -2.862 eV per atom

Geometry as POSCAR:
```
Zn2CrHg
1.0
6.4345 0.0000 0.0000
0.0000 6.4345 0.0000
0.0000 0.0000 6.4345
Zn Cr Hg
8 4 4
Cartesian
0.0000 0.0000 0.0000 Zn
0.0000 3.2173 3.2173 Zn
1.6086 1.6086 1.6086 Zn
1.6086 4.8259 4.8259 Zn
3.2173 0.0000 3.2173 Zn
3.2173 3.2173 0.0000 Zn
4.8259 1.6086 4.8259 Zn
4.8259 4.8259 1.6086 Zn
0.0000 0.0000 3.2173 Cr
0.0000 3.2173 0.0000 Cr
3.2173 0.0000 0.0000 Cr
3.2173 3.2173 3.2173 Cr
1.6086 1.6086 4.8259 Hg
1.6086 4.8259 1.6086 Hg
4.8259 1.6086 1.6086 Hg
4.8259 4.8259 4.8259 Hg
```

***

Here is Zn2CrHg after structural relaxation from the Alexandria database. Energies are from PBE.

calculated volume = 67.8 Å³ per cell
E_form = 24.8 kJ per mole of atoms
magnetization = 3.7 Bohr magnetons per cell
electronic total energy = -2.862 eV per atom

Geometry as POSCAR:
```
Zn2CrHg
1.0
3.0852 0.0000 0.0000
0.0000 3.6962 0.0000
0.0000 0.0000 5.9453
Zn Cr Hg
2 1 1
Cartesian
0.0000 0.0000 1.3285 Zn
0.0000 0.0000 4.6168 Zn
1.5426 1.8481 0.0000 Cr
1.5426 1.8481 2.9726 Hg
```